# ErCr2AgO8 PBE+U optimized geometry
data_ErCr2AgO8
_chemical_formula_sum 'Er2 Cr4 Ag2 O16'
_cell_length_a 7.215
_cell_length_b 7.215
_cell_length_c 6.306
_cell_angle_alpha 90.00
_cell_angle_beta 90.00
_cell_angle_gamma 90.00
_space_group_name_H-M_alt 'I -4 m 2'
_space_group_IT_number 119
_space_group_name_Hall 'I -4 -2'
loop_
_atom_site_label
_atom_site_fract_x
_atom_site_fract_y
_atom_site_fract_z
Er1 0.000 0.000 0.000
Cr1 0.000 0.000 0.500
Cr2 0.000 0.500 0.250
Ag1 0.000 0.500 0.750
O1 0.000 0.178 0.671
O2 0.000 0.309 0.101
# calculated total energy: -6.748 eV per atom
# total magnetization: 0.00 μB/f.u.